Record 1
VASP calculation (PBE) on crystalline ErTm7Pb2 at its relaxed geometry.

Properties
space group	Cmmm (65)

```
10
Lattice="4.5335 -7.7274 0.0000 4.5335 7.7274 0.0000 0.0000 0.0000 5.3351" Properties=species:S:1:pos:R:3 pbc="T T T"
Er 0.0000 0.0000 0.0000
Tm 1.6342 1.8533 2.6675
Tm 4.5335 4.3235 0.0000
Tm 1.6342 -1.8533 2.6675
Tm 4.5335 0.0000 2.6675
Tm 7.4328 1.8533 2.6675
Tm 4.5335 -4.3235 0.0000
Tm 7.4328 -1.8533 2.6675
Pb 4.5335 2.9995 2.6675
Pb 4.5335 -2.9995 2.6675
```

Record 2
VASP calculation (PBE) on crystalline Er4TmPb5 at its relaxed geometry.

Properties
space group	I4 (79)

```
10
Lattice="-4.9381 4.9381 3.1233 4.9381 -4.9381 3.1233 4.9381 4.9381 -3.1233" Properties=species:S:1:pos:R:3 pbc="T T T"
Er 6.9097 0.9826 0.0000
Er 0.9826 2.9666 0.0000
Er 3.9555 1.9716 3.1233
Er -1.9716 3.9555 3.1233
Tm 0.0000 0.0000 3.0730
Pb 3.9484 1.9836 0.0010
Pb 2.9546 -0.9897 3.1242
Pb 1.9836 5.9278 0.0010
Pb 0.9897 2.9546 3.1242
Pb 0.0000 0.0000 6.1919
```

Record 3
VASP calculation (PBE) on crystalline ErTmPb2 at its relaxed geometry.

Properties
space group	P4/mmm (123)

```
4
Lattice="3.5250 0.0000 0.0000 0.0000 3.5250 0.0000 0.0000 0.0000 8.8587" Properties=species:S:1:pos:R:3 pbc="T T T"
Er 0.0000 0.0000 0.0000
Tm 0.0000 0.0000 4.4293
Pb 1.7625 1.7625 2.2231
Pb 1.7625 1.7625 6.6355
```

Record 4
VASP calculation (PBE) on crystalline Er5TmPb3 at its relaxed geometry.

Properties
space group	P6_3/mcm (193)

```
18
Lattice="9.3953 0.0000 0.0000 -4.6977 8.1366 0.0000 0.0000 0.0000 6.5718" Properties=species:S:1:pos:R:3 pbc="T T T"
Er -1.5536 2.6909 1.6430
Er -3.1441 5.4457 4.9289
Er 3.1072 0.0000 1.6430
Er 1.5536 2.6909 4.9289
Er 0.0000 5.4244 0.0000
Er 0.0000 5.4244 3.2859
Er 4.6977 2.7122 0.0000
Er 4.6977 2.7122 3.2859
Er 6.2881 0.0000 4.9289
Er 3.1441 5.4457 1.6430
Tm 0.0000 0.0000 0.0000
Tm 0.0000 0.0000 3.2859
Pb -1.5766 2.7308 4.9289
Pb -3.1210 5.4058 1.6430
Pb 3.1533 0.0000 4.9289
Pb 1.5766 2.7308 1.6430
Pb 6.2421 0.0000 1.6430
Pb 3.1210 5.4058 4.9289
```

Record 5
VASP calculation (PBE) on crystalline ErTmPb2 at its relaxed geometry.

Properties
space group	R3m (160)

```
4
Lattice="2.3767 1.3722 6.4627 -2.3767 1.3722 6.4627 0.0000 -2.7444 6.4627" Properties=species:S:1:pos:R:3 pbc="T T T"
Er 0.0000 0.0000 0.0000
Tm 0.0000 0.0000 15.9132
Pb 0.0000 0.0000 4.6766
Pb 0.0000 0.0000 7.9263
```

Record 6
VASP calculation (PBE) on crystalline Er7Tm12Pb at its relaxed geometry.

Properties
space group	R-3 (148)

```
20
Lattice="5.9318 3.4247 5.0942 -5.9318 3.4247 5.0942 0.0000 -6.8494 5.0942" Properties=species:S:1:pos:R:3 pbc="T T T"
Er 0.0000 0.0000 0.0000
Er -1.4330 -1.3840 4.5780
Er -0.4821 1.9330 4.5780
Er 1.9151 -0.5490 4.5780
Er -1.9151 0.5490 10.7046
Er 0.4821 -1.9330 10.7046
Er 1.4330 1.3840 10.7046
Tm -3.8032 1.4069 3.8717
Tm 0.6831 -3.9971 3.8717
Tm -2.3260 -2.1949 8.3134
Tm -3.0638 0.9169 6.9692
Tm -3.1200 -2.5902 11.4108
Tm 0.7378 -3.1118 6.9692
Tm -0.7378 3.1118 8.3134
Tm 3.1200 2.5902 3.8717
Tm 3.0638 -0.9169 8.3134
Tm 2.3260 2.1949 6.9692
Tm -0.6831 3.9971 11.4108
Tm 3.8032 -1.4069 11.4108
Pb 0.0000 0.0000 7.6413
```

Record 7
VASP calculation (PBE) on crystalline ErTmPb3 at its relaxed geometry.

Properties
space group	Pnma (62)

```
20
Lattice="9.5636 0.0000 0.0000 0.0000 9.1599 0.0000 0.0000 0.0000 6.9576" Properties=species:S:1:pos:R:3 pbc="T T T"
Er 0.8832 2.2900 0.3634
Er 3.8986 6.8699 3.8421
Er 5.6650 2.2900 3.1154
Er 8.6804 6.8699 6.5942
Tm 0.0000 0.0000 3.4788
Tm 0.0000 4.5800 3.4788
Tm 4.7818 0.0000 0.0000
Tm 4.7818 4.5800 0.0000
Pb 1.5667 6.8699 1.6859
Pb 1.9286 5.1865 5.8521
Pb 1.9286 8.5534 5.8521
Pb 2.8532 0.6065 2.3734
Pb 2.8532 3.9734 2.3734
Pb 3.2151 2.2900 5.1647
Pb 6.3485 6.8699 1.7929
Pb 6.7104 5.1865 4.5842
Pb 6.7104 8.5534 4.5842
Pb 7.6350 0.6065 1.1054
Pb 7.6350 3.9734 1.1054
Pb 7.9969 2.2900 5.2717
```

Record 8
VASP calculation (PBE) on crystalline ErTmPb at its relaxed geometry.

Properties
space group	C2/m (12)

```
6
Lattice="5.7582 -1.7218 0.0000 5.7582 1.7218 0.0000 -0.0824 0.0000 9.0957" Properties=species:S:1:pos:R:3 pbc="T T T"
Er 1.1077 0.0000 2.1147
Er 10.3262 0.0000 6.9810
Tm 4.2083 0.0000 3.9269
Tm 7.2256 0.0000 5.1689
Pb 4.1910 0.0000 0.7582
Pb 7.2429 0.0000 8.3376
```

The calculation returns the following DFT formation energy values, one per record and in order: 0.29, -0.28, -0.38, -0.33, -0.30, 0.17, -0.19, -0.11 eV/atom.